Entry 1:
BaInAs2 | PBE | relaxed

Lattice parameters (Å, degrees): 5.405 5.405 5.405 60.00 60.00 60.00
Atoms (fractional coordinates):
As 0.000 0.000 0.000
As 0.250 0.250 0.250
Ba 0.500 0.500 0.500
In 0.750 0.750 0.750

DFT total energy   -14.5 eV for the cell shown
SG   F-43m, No. 216
Energy of formation   -124 meV per atom
D(E_F)   2.89 states/eV/cell

=====

Entry 2:
LiTbPd | PBE | relaxed

Lattice parameters (Å, degrees): 4.106 7.169 7.168 120.00 90.00 90.00
Atoms (fractional coordinates):
Li 0.000 0.766 0.766
Li 0.000 0.000 0.234
Li 0.000 0.234 0.000
Tb 0.500 0.412 0.412
Tb 0.500 0.000 0.588
Tb 0.500 0.588 0.000
Pd 0.000 0.333 0.667
Pd 0.000 0.667 0.333
Pd 0.500 0.000 0.000

DFT total energy   -40.6 eV for the cell shown
SG   P-62m, No. 189
Excess energy over the best structure of this formula in the dataset   0.00 kJ per mole of atoms
Energy of formation   -594 meV per atom
D(E_F)   5.41 states/eV/cell

=====

Entry 3:
Sr2Ta | PBE | relaxed

Lattice parameters (Å, degrees): 8.889 8.889 7.550 72.36 72.36 22.76
Site moments in Bohr magnetons follow the coordinates.
Atoms (fractional coordinates):
Sr 0.839 0.839 0.120  0.01
Sr 0.110 0.110 0.423  0.02
Sr 0.161 0.161 0.880  0.01
Sr 0.890 0.890 0.577  0.02
Ta 0.498 0.498 0.836  0.12
Ta 0.502 0.502 0.164  0.12

DFT total energy   -25.9 eV for the cell shown
SG   C2/m, No. 12
Excess energy over the best structure of this formula in the dataset   13.38 kJ per mole of atoms
Energy of formation   752 meV per atom
D(E_F)   10.42 states/eV/cell